Computed, not measured: an optimized crystal structure of NaMg17Al11 at the PBE level of DFT.

## Properties
- energy of formation from the pure elements (meV/atom) = 5

Cell: 10.619 14.978 9.194 Å, 90.00 125.27 90.00°
Space group Cm (No. 8)
Symmetry-distinct sites (fractional):
1 Na 0.000 0.000 0.000 (multiplicity 2)
2 Mg 0.030 0.000 0.546 (multiplicity 2)
3 Mg 0.089 0.150 0.818 (multiplicity 4)
4 Mg 0.112 0.200 0.503 (multiplicity 4)
5 Mg 0.122 0.500 0.815 (multiplicity 2)
6 Mg 0.131 0.500 0.168 (multiplicity 2)
7 Mg 0.191 0.162 0.225 (multiplicity 4)
8 Mg 0.280 0.000 0.473 (multiplicity 2)
9 Mg 0.286 0.342 0.422 (multiplicity 4)
10 Mg 0.294 0.327 0.814 (multiplicity 4)
11 Mg 0.321 0.000 0.099 (multiplicity 2)
12 Mg 0.430 0.201 0.135 (multiplicity 4)
13 Al 0.029 0.406 0.447 (multiplicity 4)
14 Al 0.128 0.320 0.004 (multiplicity 4)
15 Al 0.298 0.500 0.617 (multiplicity 2)
16 Al 0.351 0.090 0.816 (multiplicity 4)
17 Al 0.400 0.406 0.198 (multiplicity 4)
18 Al 0.443 0.181 0.633 (multiplicity 4)